1.
Below is a relaxed Dy7Er3 crystal, with properties calculated at the PBE level.

Cell: 10.7857 10.7857 6.2683 Å, 90.00 90.00 120.00°
With the nearest neighbours (Å) after each atom.
Space group P6_3mc (No. 186)
Inequivalent atoms, fractional coordinates:
Dy 0.0582 0.5291 0.0000 [6 per cell]  3 Dy 3.07-3.32, 4 Er 3.31-3.33
Dy 0.1184 0.2368 0.8507 [6 per cell]  4 Er 3.45-3.66, 8 Dy 3.64-3.84
Dy 0.3333 0.6667 0.7334 [2 per cell]  3 Dy 3.07, 3 Er 3.24
Er 0.2125 0.4249 0.3629 [6 per cell]  8 Dy 3.24-3.53

## Properties
Polymorph energy (0 for the lowest one): 185 meV per atom
Final energy: -4.3891 eV per atom
Formation energy: 0.2012 eV/atom
Total moment: 1.91 μB per cell

=====

2.
Below is a relaxed Dy4Er crystal, with properties calculated at the PBE level.

Cell: 5.4011 16.6019 3.4865 Å, 90.00 90.00 90.00°
With the nearest neighbours (Å) after each atom.
Space group Cmmm (No. 65)
Inequivalent atoms, fractional coordinates:
Dy 0.0000 0.1089 0.0000 [4 per cell]  9 Dy 3.49-3.64, 4 Er 3.69
Dy 0.0000 0.3011 0.5000 [4 per cell]  8 Dy 3.19-3.54, 1 Er 3.30
Er 0.0000 0.5000 0.5000 [2 per cell]  10 Dy 3.30-3.69, 2 Er 3.49

## Properties
Polymorph energy (0 for the lowest one): 37 meV per atom
Final energy: -4.5381 eV per atom
Formation energy: 0.0561 eV/atom
Total moment: 0.00 μB per cell

=====

3.
Below is a relaxed Dy7Er3 crystal, with properties calculated at the PBE level.

Cell: 17.9465 4.9742 7.0608 Å, 90.00 101.26 90.00°
With the nearest neighbours (Å) after each atom.
Space group C2/m (No. 12)
Inequivalent atoms, fractional coordinates:
Dy 0.0000 0.0000 0.0000 [2 per cell]  8 Dy 3.52, 4 Er 3.52-3.53
Dy 0.0999 0.5000 0.2999 [4 per cell]  4 Er 3.52, 8 Dy 3.52-3.53
Dy 0.1001 0.5000 0.8004 [4 per cell]  5 Er 3.51-3.52, 7 Dy 3.52-3.53
Dy 0.2001 0.0000 0.6001 [4 per cell]  7 Dy 3.52, 5 Er 3.52-3.53
Er 0.0000 0.0000 0.5000 [2 per cell]  12 Dy 3.52-3.53
Er 0.2003 0.0000 0.1002 [4 per cell]  10 Dy 3.51-3.53, 2 Er 3.52

## Properties
Polymorph energy (0 for the lowest one): 0 meV per atom
Final energy: -4.5742 eV per atom
Formation energy: 0.0162 eV/atom
Total moment: 0.00 μB per cell

=====

4.
Below is a relaxed Dy4Er3 crystal, with properties calculated at the PBE level.

Cell: 11.1180 4.9743 7.8646 Å, 90.00 98.14 90.00°
With the nearest neighbours (Å) after each atom.
Space group C2/m (No. 12)
Inequivalent atoms, fractional coordinates:
Dy 0.1428 0.0000 0.4280 [4 per cell]  6 Er 3.51-3.52, 6 Dy 3.52
Dy 0.2143 0.5000 0.1424 [4 per cell]  5 Dy 3.51-3.52, 7 Er 3.51-3.52
Er 0.0000 0.0000 0.0000 [2 per cell]  8 Dy 3.51-3.52, 4 Er 3.52
Er 0.0715 0.5000 0.7142 [4 per cell]  9 Dy 3.51-3.52, 3 Er 3.52

## Properties
Final energy: -4.5656 eV per atom
Formation energy: 0.0197 eV/atom
Total moment: 0.00 μB per cell

=====

5.
Below is a relaxed Dy13Er3 crystal, with properties calculated at the PBE level.

Cell: 7.2229 11.1944 12.4841 Å, 90.00 90.00 90.00°
With the nearest neighbours (Å) after each atom.
Space group Amm2 (No. 38)
Inequivalent atoms, fractional coordinates:
Dy 0.0000 0.0000 0.0000 [2 per cell]  10 Dy 3.48-3.61, 2 Er 3.61
Dy 0.0000 0.0000 0.4993 [2 per cell]  8 Dy 3.48-3.61, 4 Er 3.60-3.61
Dy 0.0000 0.2492 0.1666 [4 per cell]  10 Dy 3.48-3.61, 2 Er 3.48
Dy 0.2500 0.0000 0.7494 [4 per cell]  11 Dy 3.49-3.61, 1 Er 3.61
Dy 0.2503 0.2493 0.4166 [8 per cell]  2 Er 3.48, 10 Dy 3.48-3.62
Dy 0.5000 0.0000 0.0000 [2 per cell]  10 Dy 3.48-3.61, 2 Er 3.61
Dy 0.5000 0.2496 0.1665 [4 per cell]  9 Dy 3.48-3.61, 3 Er 3.49-3.50
Er 0.2502 0.0000 0.2500 [4 per cell]  9 Dy 3.48-3.61, 3 Er 3.59-3.61
Er 0.5000 0.0000 0.4990 [2 per cell]  10 Dy 3.48-3.61, 2 Er 3.59

## Properties
Polymorph energy (0 for the lowest one): 0 meV per atom
Final energy: -4.5881 eV per atom
Formation energy: 0.0066 eV/atom
Total moment: 0.00 μB per cell

=====

6.
Below is a relaxed Dy3Er crystal, with properties calculated at the PBE level.

Cell: 3.6052 11.2129 6.2327 Å, 90.00 90.00 90.00°
With the nearest neighbours (Å) after each atom.
Space group Imm2 (No. 44)
Inequivalent atoms, fractional coordinates:
Dy 0.0000 0.0000 0.0000 [2 per cell]  8 Dy 3.48-3.61, 4 Er 3.59-3.61
Dy 0.0000 0.2494 0.6671 [4 per cell]  9 Dy 3.48-3.61, 3 Er 3.49
Er 0.0000 0.5000 0.9989 [2 per cell]  10 Dy 3.49-3.61, 2 Er 3.61

## Properties
Polymorph energy (0 for the lowest one): 1 meV per atom
Final energy: -4.5863 eV per atom
Formation energy: 0.0060 eV/atom
Total moment: 0.00 μB per cell